--- P ---
Below is a geometry-optimized K2Rb2Na structure, with properties calculated at the PBE level.

Summary:
The space-group type is C2/m.

abc: 8.4074 8.4074 11.5729
angles: 106.82 106.82 99.14
Positions (direct):
K1 0.1665 0.1665 0.4297
K2 0.2803 0.2803 0.8791
K3 0.7197 0.7197 0.1209
K4 0.8335 0.8335 0.5703
Rb1 0.2382 0.6152 0.2729
Rb2 0.3848 0.7618 0.7271
Rb3 0.6152 0.2382 0.2729
Rb4 0.7618 0.3848 0.7271
Na1 0.1397 0.8603 0.0000
Na2 0.8603 0.1397 0.0000

--- Q ---
Below is a geometry-optimized K2Rb2Na structure, with properties calculated at the PBE level.

Summary:
The space-group type is I4/mmm.

abc: 5.9401 5.9401 22.8040
angles: 90.00 90.00 90.00
Positions (direct):
K1 0.0000 0.0000 0.0878
K2 0.0000 0.0000 0.9122
K3 0.5000 0.5000 0.4122
K4 0.5000 0.5000 0.5878
Rb1 0.0000 0.5000 0.2500
Rb2 0.0000 0.5000 0.7500
Rb3 0.5000 0.0000 0.2500
Rb4 0.5000 0.0000 0.7500
Na1 0.0000 0.0000 0.5000
Na2 0.5000 0.5000 0.0000

--- R ---
Below is a geometry-optimized K2Rb2Na structure, with properties calculated at the PBE level.

Summary:
The space-group type is P4/mbm.

abc: 10.1828 10.1828 7.2343
angles: 90.00 90.00 90.00
Positions (direct):
K1 0.1460 0.3540 0.0000
K2 0.3540 0.8540 0.0000
K3 0.6460 0.1460 0.0000
K4 0.8540 0.6460 0.0000
Rb1 0.1742 0.6742 0.5000
Rb2 0.3258 0.1742 0.5000
Rb3 0.6742 0.8258 0.5000
Rb4 0.8258 0.3258 0.5000
Na1 0.0000 0.0000 0.0000
Na2 0.5000 0.5000 0.0000

In order of decreasing stability: P, R, Q.

--- P ---
Below is a geometry-optimized K2Rb2Na structure, with properties calculated at the PBE level.

Summary:
The space-group type is I4/mmm.

abc: 5.6897 5.6897 24.4171
angles: 90.00 90.00 90.00
Positions (direct):
K1 0.0000 0.5000 0.2500
K2 0.0000 0.5000 0.7500
K3 0.5000 0.0000 0.2500
K4 0.5000 0.0000 0.7500
Rb1 0.0000 0.0000 0.0909
Rb2 0.0000 0.0000 0.9091
Rb3 0.5000 0.5000 0.4091
Rb4 0.5000 0.5000 0.5909
Na1 0.0000 0.0000 0.5000
Na2 0.5000 0.5000 0.0000

--- Q ---
Below is a geometry-optimized K2Rb2Na structure, with properties calculated at the PBE level.

Summary:
The space-group type is P4/mbm.

abc: 10.4353 10.4353 7.0725
angles: 90.00 90.00 90.00
Positions (direct):
K1 0.1674 0.3326 0.0000
K2 0.3326 0.8326 0.0000
K3 0.6674 0.1674 0.0000
K4 0.8326 0.6674 0.0000
Rb1 0.1487 0.6487 0.5000
Rb2 0.3513 0.1487 0.5000
Rb3 0.6487 0.8513 0.5000
Rb4 0.8513 0.3513 0.5000
Na1 0.0000 0.0000 0.5000
Na2 0.5000 0.5000 0.5000

In order of decreasing stability: Q, P.

--- P ---
Below is a geometry-optimized K6RbNa4 structure, with properties calculated at the PBE level.

Summary:
The space-group type is I-42m.

abc: 10.2068 10.2068 10.2068
angles: 123.19 123.19 84.56
Positions (direct):
K1 0.0000 0.5000 0.5000
K2 0.0163 0.0163 0.5981
K3 0.4181 0.4181 0.4019
K4 0.5000 0.0000 0.5000
K5 0.5819 0.9837 0.0000
K6 0.9837 0.5819 0.0000
Rb1 0.5000 0.5000 0.0000
Na1 0.0733 0.0733 0.2852
Na2 0.2119 0.9267 0.0000
Na3 0.7881 0.7881 0.7148
Na4 0.9267 0.2119 0.0000

--- Q ---
Below is a geometry-optimized K6RbNa4 structure, with properties calculated at the PBE level.

Summary:
The space-group type is P1.

abc: 8.0084 8.0091 12.1879
angles: 99.89 99.83 116.89
Positions (direct):
K1 0.0000 0.0000 0.0000
K2 0.0098 0.6618 0.6481
K3 0.3776 0.9379 0.2848
K4 0.5532 0.5529 0.1067
K5 0.6619 0.0100 0.6484
K6 0.9378 0.3777 0.2847
Rb1 0.3715 0.3716 0.7299
Na1 0.4812 0.4816 0.4151
Na2 0.4828 0.9859 0.9538
Na3 0.9495 0.9501 0.4074
Na4 0.9862 0.4829 0.9537

In order of decreasing stability: Q, P.

--- P ---
Below is a geometry-optimized K3Rb8Na2 structure, with properties calculated at the PBE level.

Summary:
The space-group type is P2/m.

abc: 10.6349 7.0795 13.9382
angles: 90.00 104.50 90.00
Positions (direct):
K1 0.0000 0.0000 0.0000
K2 0.2721 0.5000 0.9306
K3 0.7279 0.5000 0.0694
Rb1 0.0835 0.0000 0.6723
Rb2 0.1735 0.5000 0.2462
Rb3 0.3502 0.5000 0.6017
Rb4 0.4551 0.0000 0.1626
Rb5 0.5449 0.0000 0.8374
Rb6 0.6498 0.5000 0.3983
Rb7 0.8265 0.5000 0.7538
Rb8 0.9165 0.0000 0.3277
Na1 0.3357 0.0000 0.4322
Na2 0.6643 0.0000 0.5678

--- Q ---
Below is a geometry-optimized K3Rb8Na2 structure, with properties calculated at the PBE level.

Summary:
The space-group type is C2/m.

abc: 11.6630 11.6630 8.6193
angles: 96.23 96.23 65.98
Positions (direct):
K1 0.0000 0.0000 0.0000
K2 0.1690 0.8310 0.5000
K3 0.8310 0.1690 0.5000
Rb1 0.1769 0.5620 0.0699
Rb2 0.1962 0.1962 0.3341
Rb3 0.4051 0.4051 0.6329
Rb4 0.4380 0.8231 0.9301
Rb5 0.5620 0.1769 0.0699
Rb6 0.5949 0.5949 0.3671
Rb7 0.8038 0.8038 0.6659
Rb8 0.8231 0.4380 0.9301
Na1 0.1917 0.1917 0.8160
Na2 0.8083 0.8083 0.1840

In order of decreasing stability: P, Q.